# 1
## CrSbNF2 (GGA+U)

Data for an optimized crystal structure of CrSbNF2.

Geometry as extended XYZ:
```
5
Lattice="4.4720 0.0000 0.0000 0.0000 4.4720 0.0000 0.0000 0.0000 4.0700" Properties=species:S:1:pos:R:3 pbc="T T T"
Cr 0.0000 0.0000 0.0000
Sb 2.2360 2.2360 2.0350
N 2.2360 2.2360 0.0000
F 0.0000 2.2360 2.0350
F 2.2360 0.0000 2.0350
```

Computed properties:
E_tot: -5.273 eV per atom
Energy above the lowest structure with this stoichiometry: 1.37 eV/f.u.

# 2
## CrSbNF2 (GGA+U)

Data for an optimized crystal structure of CrSbNF2.

Geometry as extended XYZ:
```
5
Lattice="3.9112 0.0000 0.0000 0.0000 3.9112 0.0000 0.0000 0.0000 4.4169" Properties=species:S:1:pos:R:3 pbc="T T T"
Cr 0.0000 0.0000 0.0000
Sb 1.9556 1.9556 2.2084
N 0.0000 0.0000 2.2084
F 0.0000 1.9556 0.0000
F 1.9556 0.0000 0.0000
```

Computed properties:
E_tot: -5.547 eV per atom
Energy above the lowest structure with this stoichiometry: 0.00 eV/f.u.

# 3
## Sc2CrNF (GGA+U)

Data for an optimized crystal structure of Sc2CrNF.

Geometry as extended XYZ:
```
5
Lattice="4.4193 0.0000 0.0000 0.0000 4.4193 0.0000 0.0000 0.0000 4.1744" Properties=species:S:1:pos:R:3 pbc="T T T"
Sc 0.0000 2.2096 0.0000
Sc 2.2096 0.0000 0.0000
Cr 0.0000 0.0000 2.0872
N 0.0000 0.0000 0.0000
F 2.2096 2.2096 2.0872
```

Computed properties:
E_tot: -6.847 eV per atom

# 4
## ScCrNF2 (GGA+U)

Data for an optimized crystal structure of ScCrNF2.

Geometry as extended XYZ:
```
5
Lattice="3.8693 0.0000 0.0000 0.0000 3.8693 0.0000 0.0000 0.0000 4.1814" Properties=species:S:1:pos:R:3 pbc="T T T"
Sc 0.0000 0.0000 0.0000
Cr 1.9346 1.9346 2.0907
N 1.9346 1.9346 0.0000
F 0.0000 1.9346 2.0907
F 1.9346 0.0000 2.0907
```

Computed properties:
E_tot: -6.585 eV per atom
Energy above the lowest structure with this stoichiometry: 1.65 eV/f.u.

# 5
## ScCrNF2 (GGA+U)

Data for an optimized crystal structure of ScCrNF2.

Geometry as extended XYZ:
```
5
Lattice="3.9731 0.0000 0.0000 0.0000 3.9731 0.0000 0.0000 0.0000 4.3871" Properties=species:S:1:pos:R:3 pbc="T T T"
Sc 0.0000 0.0000 0.0000
Cr 1.9866 1.9866 2.1936
N 0.0000 0.0000 2.1936
F 0.0000 1.9866 0.0000
F 1.9866 0.0000 0.0000
```

Computed properties:
E_tot: -6.914 eV per atom
Energy above the lowest structure with this stoichiometry: 0.00 eV/f.u.

# 6
## CrSiNF2 (GGA+U)

Data for an optimized crystal structure of CrSiNF2.

Geometry as extended XYZ:
```
5
Lattice="3.8585 0.0000 0.0000 0.0000 3.8585 0.0000 0.0000 0.0000 4.1529" Properties=species:S:1:pos:R:3 pbc="T T T"
Cr 0.0000 0.0000 0.0000
Si 1.9293 1.9293 2.0765
N 0.0000 0.0000 2.0765
F 0.0000 1.9293 0.0000
F 1.9293 0.0000 0.0000
```

Computed properties:
E_tot: -5.630 eV per atom
Energy above the lowest structure with this stoichiometry: 2.27 eV/f.u.

# 7
## CrSiN2F (GGA+U)

Data for an optimized crystal structure of CrSiN2F.

Geometry as extended XYZ:
```
5
Lattice="4.3050 0.0000 0.0000 0.0000 4.3050 0.0000 0.0000 0.0000 3.4232" Properties=species:S:1:pos:R:3 pbc="T T T"
Cr 0.0000 0.0000 0.0000
Si 2.1525 2.1525 0.0000
N 0.0000 2.1525 1.7116
N 2.1525 0.0000 1.7116
F 2.1525 2.1525 1.7116
```

Computed properties:
E_tot: -4.771 eV per atom
Energy above the lowest structure with this stoichiometry: 9.84 eV/f.u.

# 8
## CrSiN2F (GGA+U)

Data for an optimized crystal structure of CrSiN2F.

Geometry as extended XYZ:
```
5
Lattice="3.8952 0.0000 0.0000 0.0000 3.8952 0.0000 0.0000 0.0000 3.8326" Properties=species:S:1:pos:R:3 pbc="T T T"
Cr 0.0000 0.0000 0.0000
Si 1.9476 1.9476 1.9163
N 0.0000 1.9476 0.0000
N 1.9476 0.0000 0.0000
F 0.0000 0.0000 1.9163
```

Computed properties:
E_tot: -5.968 eV per atom
Energy above the lowest structure with this stoichiometry: 3.85 eV/f.u.

# 9
## CrSiN2F (GGA+U)

Data for an optimized crystal structure of CrSiN2F.

Geometry as extended XYZ:
```
5
Lattice="3.6213 0.0000 0.0000 0.0000 3.6213 0.0000 0.0000 0.0000 3.6472" Properties=species:S:1:pos:R:3 pbc="T T T"
Cr 0.0000 0.0000 0.0000
Si 1.8106 1.8106 1.8236
N 0.0000 1.8106 1.8236
N 1.8106 0.0000 1.8236
F 1.8106 1.8106 0.0000
```

Computed properties:
E_tot: -6.739 eV per atom
Energy above the lowest structure with this stoichiometry: 0.00 eV/f.u.

# 10
## CrSiNF2 (GGA+U)

Data for an optimized crystal structure of CrSiNF2.

Geometry as extended XYZ:
```
5
Lattice="4.1168 0.0000 0.0000 0.0000 4.1168 0.0000 0.0000 0.0000 3.2993" Properties=species:S:1:pos:R:3 pbc="T T T"
Cr 0.0000 0.0000 0.0000
Si 2.0584 2.0584 1.6496
N 2.0584 2.0584 0.0000
F 0.0000 2.0584 1.6496
F 2.0584 0.0000 1.6496
```

Computed properties:
E_tot: -6.084 eV per atom
Energy above the lowest structure with this stoichiometry: 0.00 eV/f.u.

# 11
## CrSnNF2 (GGA+U)

Data for an optimized crystal structure of CrSnNF2.

Geometry as extended XYZ:
```
5
Lattice="4.3447 0.0000 0.0000 0.0000 4.3447 0.0000 0.0000 0.0000 3.9786" Properties=species:S:1:pos:R:3 pbc="T T T"
Cr 0.0000 0.0000 0.0000
Sn 2.1724 2.1724 1.9893
N 2.1724 2.1724 0.0000
F 0.0000 2.1724 1.9893
F 2.1724 0.0000 1.9893
```

Computed properties:
E_tot: -5.417 eV per atom
Energy above the lowest structure with this stoichiometry: 1.57 eV/f.u.

# 12
## CrSnNF2 (GGA+U)

Data for an optimized crystal structure of CrSnNF2.

Geometry as extended XYZ:
```
5
Lattice="3.9913 0.0000 0.0000 0.0000 3.9913 0.0000 0.0000 0.0000 4.1960" Properties=species:S:1:pos:R:3 pbc="T T T"
Cr 0.0000 0.0000 0.0000
Sn 1.9956 1.9956 2.0980
N 0.0000 0.0000 2.0980
F 0.0000 1.9956 0.0000
F 1.9956 0.0000 0.0000
```

Computed properties:
E_tot: -5.730 eV per atom
Energy above the lowest structure with this stoichiometry: 0.00 eV/f.u.

Which of these has the lowest E_tot? number 5

Number 4 is which compound? ScCrNF2

Please write out number 4 again, unchanged.
## ScCrNF2 (GGA+U)

Data for an optimized crystal structure of ScCrNF2.

Geometry as extended XYZ:
```
5
Lattice="3.8693 0.0000 0.0000 0.0000 3.8693 0.0000 0.0000 0.0000 4.1814" Properties=species:S:1:pos:R:3 pbc="T T T"
Sc 0.0000 0.0000 0.0000
Cr 1.9346 1.9346 2.0907
N 1.9346 1.9346 0.0000
F 0.0000 1.9346 2.0907
F 1.9346 0.0000 2.0907
```

Computed properties:
E_tot: -6.585 eV per atom
Energy above the lowest structure with this stoichiometry: 1.65 eV/f.u.

What is the E_tot in the ninth record? -6.739 eV per atom